{"formula": "Tb2GdY", "functional": "PBE-GGA", "state": "optimized geometry", "lattice_angstrom": [[3.568, 0.000, 0.000], [0.000, 3.568, 0.000], [0.000, 0.000, 10.092]], "species": ["Y", "Gd", "Tb", "Tb"], "frac_coords": [[0.500, 0.500, 0.500], [0.500, 0.500, 0.000], [0.000, 0.000, 0.749], [0.000, 0.000, 0.251]], "sg": "P4/mmm", "formation_enthalpy_0k_ev_per_atom": 0.02, "m_tot_mub_per_cell": 7.16, "relative_energy_ev_per_atom": 0.002, "n_ef_per_ev_atom": 1.48}